A plane-wave DFT calculation with PBE-GGA was carried out for crystalline Pm7Sn5Au at its relaxed geometry.

abc: 8.4588 8.4588 8.4588
angles: 135.56 95.37 101.09
Element x y z (fractional)
Pm: 0.0000 0.0000 0.0000
Pm: 0.3203 0.6491 0.6712
Pm: 0.4244 0.4244 0.0000
Pm: 0.4695 0.1322 0.3373
Pm: 0.7948 0.1322 0.6627
Pm: 0.8703 0.3703 0.5000
Pm: 0.9779 0.6491 0.3288
Sn: 0.1383 0.1464 0.4955
Sn: 0.1383 0.6428 0.9919
Sn: 0.3856 0.8856 0.5000
Sn: 0.6508 0.1464 0.0081
Sn: 0.6508 0.6428 0.5045
Au: 0.7089 0.7089 0.0000

Values from the calculation:
The formation energy is -487 meV/atom. The calculation puts the theoretical density at 7.66 g cm⁻³. The calculation puts the calculated volume at 392 Å³ per cell. The space group is Imm2, No. 44.

---

A plane-wave DFT calculation with PBE-GGA was carried out for crystalline Pm12SnAu6 at its relaxed geometry.

abc: 8.7871 8.7871 8.7871
angles: 100.95 100.95 100.95
Element x y z (fractional)
Pm: 0.0732 0.6693 0.9249
Pm: 0.0751 0.9268 0.3307
Pm: 0.1781 0.4214 0.5715
Pm: 0.3307 0.0751 0.9268
Pm: 0.4214 0.5715 0.1781
Pm: 0.4285 0.8219 0.5786
Pm: 0.5715 0.1781 0.4214
Pm: 0.5786 0.4285 0.8219
Pm: 0.6693 0.9249 0.0732
Pm: 0.8219 0.5786 0.4285
Pm: 0.9249 0.0732 0.6693
Pm: 0.9268 0.3307 0.0751
Sn: 0.0000 0.0000 0.0000
Au: 0.1400 0.6101 0.3144
Au: 0.3144 0.1400 0.6101
Au: 0.3899 0.6856 0.8600
Au: 0.6101 0.3144 0.1400
Au: 0.6856 0.8600 0.3899
Au: 0.8600 0.3899 0.6856

Values from the calculation:
The formation energy is -392 meV/atom. The calculation puts the theoretical density at 7.94 g cm⁻³. The calculation puts the calculated volume at 636 Å³ per cell. The space group is R-3, No. 148.

---

A plane-wave DFT calculation with PBE-GGA was carried out for crystalline Pm2SnAu2 at its relaxed geometry.

abc: 8.0627 8.0627 3.8965
angles: 90.00 90.00 90.00
Element x y z (fractional)
Pm: 0.1721 0.3279 0.0000
Pm: 0.3279 0.8279 0.0000
Pm: 0.6721 0.1721 0.0000
Pm: 0.8279 0.6721 0.0000
Sn: 0.0000 0.0000 0.5000
Sn: 0.5000 0.5000 0.5000
Au: 0.1261 0.6261 0.5000
Au: 0.3739 0.1261 0.5000
Au: 0.6261 0.8739 0.5000
Au: 0.8739 0.3739 0.5000

Values from the calculation:
The formation energy is -821 meV/atom. The calculation puts the theoretical density at 10.52 g cm⁻³. The calculation puts the calculated volume at 253 Å³ per cell. The space group is P4/mbm, No. 127.

---

A plane-wave DFT calculation with PBE-GGA was carried out for crystalline PmSnAu at its relaxed geometry.

abc: 4.7771 4.7771 3.7410
angles: 90.00 90.00 120.00
Element x y z (fractional)
Pm: 0.0000 0.0000 0.0000
Sn: 0.3333 0.6667 0.5000
Au: 0.6667 0.3333 0.5000

Values from the calculation:
The formation energy is -779 meV/atom. The calculation puts the theoretical density at 10.35 g cm⁻³. As for the energy above the most stable polymorph in this dataset: 0.22 eV per formula unit. The calculation puts the calculated volume at 74 Å³ per cell. The space group is P-6m2, No. 187.